This record from Alexandria describes a geometry-optimized MgBSb structure. The functional is PBE.

Output
ΔE_f (raw): 31 meV per atom
ρ: 4.3 g/cm3
Relative energy among the computed polymorphs: 0.0234 eV per atom
Final energy: -4.10 eV/atom

a b c (Å): 3.0916 3.3516 11.7205
angles (deg): 90.01 81.62 87.39
Sites, in units of the cell vectors:
B  0.7587  0.0000  0.9843
B  0.2413  0.0000  0.0157
Mg  0.6799  0.5043  0.1287
Mg  0.3201  0.4957  0.8713
Sb  0.9332  0.4965  0.6467
Sb  0.0668  0.5035  0.3533

---

This record from Alexandria describes a geometry-optimized MgBSb structure. The functional is PBE.

Output
ΔE_f (raw): 120 meV per atom
ρ: 4.3 g/cm3
Relative energy among the computed polymorphs: 0.1120 eV per atom
Final energy: -4.01 eV/atom

a b c (Å): 3.7474 5.1774 6.5997
angles (deg): 94.17 106.59 89.88
Sites, in units of the cell vectors:
Sb  0.6344  0.7703  0.7700
Mg  0.1296  0.2292  0.7698
Mg  0.8704  0.7708  0.2302
B  0.0460  0.6161  0.5927
B  0.9540  0.3839  0.4073
Sb  0.3656  0.2297  0.2300